Cs2BaV3F12 | the Alexandria database | PBE with a Hubbard U | optimized geometry; E_tot = -5.734 eV/atom
1.0
7.683 -0.029 -0.021
3.769 6.695 -0.021
3.769 2.194 6.325
V F Cs Ba
3 12 2 1
Direct
0.000 0.000 0.500
0.000 0.500 0.000
0.500 0.000 0.000
0.281 0.904 0.281
0.883 0.417 0.883
0.417 0.883 0.883
0.904 0.281 0.281
0.117 0.117 0.583
0.281 0.281 0.904
0.096 0.719 0.719
0.719 0.096 0.719
0.719 0.719 0.096
0.583 0.117 0.117
0.883 0.883 0.417
0.117 0.583 0.117
0.386 0.386 0.386
0.614 0.614 0.614
0.000 0.000 0.000